# PBE Zn2CrCl, relaxed
# Crystal system: tetragonal
# Uncorrected energy: -3.3990 eV per atom
# Magnetic moment: 3.7 Bohr magnetons per cell
# DOS(E_F): 1.55 states/eV per cell
data_Zn2CrCl
_chemical_formula_sum 'Zn2 Cr1 Cl1'
_cell_length_a 3.0971
_cell_length_b 3.0971
_cell_length_c 7.2438
_cell_angle_alpha 90.00
_cell_angle_beta 90.00
_cell_angle_gamma 90.00
_symmetry_space_group_name_H-M 'P 4/m m m'
_symmetry_Int_Tables_number 123
_symmetry_space_group_name_Hall '-P 4 2'
loop_
_atom_site_label
_atom_site_type_symbol
_atom_site_fract_x
_atom_site_fract_y
_atom_site_fract_z
_atom_site_occupancy
Zn1 Zn 0.0000 0.0000 0.2242 1
Cr1 Cr 0.5000 0.5000 0.0000 1
Cl1 Cl 0.5000 0.5000 0.5000 1

# PBE Ac2HoBiO6, relaxed
# Crystal system: tetragonal
# Uncorrected energy: -7.3738 eV per atom
# Magnetic moment: 0.0 Bohr magnetons per cell
# DOS(E_F): 0.00 states/eV per cell
data_Ac2HoBiO6
_chemical_formula_sum 'Ac2 Ho1 Bi1 O6'
_cell_length_a 5.7277
_cell_length_b 5.7277
_cell_length_c 5.7004
_cell_angle_alpha 90.00
_cell_angle_beta 90.00
_cell_angle_gamma 90.00
_symmetry_space_group_name_H-M 'P 4 m m'
_symmetry_Int_Tables_number 99
_symmetry_space_group_name_Hall 'P 4 -2'
loop_
_atom_site_label
_atom_site_type_symbol
_atom_site_fract_x
_atom_site_fract_y
_atom_site_fract_z
_atom_site_occupancy
Ac1 Ac 0.0000 0.5000 0.0000 1
Ho1 Ho 0.0000 0.0000 0.5795 1
Bi1 Bi 0.5000 0.5000 0.5683 1
O1 O 0.0000 0.0000 0.2019 1
O2 O 0.2452 0.2452 0.7447 1
O3 O 0.5000 0.5000 0.1624 1